Entry from Alexandria via LeMat-Bulk: TiAg2Se4 after structural relaxation (PBE).

Formation energy without anion corrections = -0.35 eV/atom
SG = No. 63

abc: 6.977 6.977 12.433
angles: 90.00 90.00 150.22
Element x y z (fractional)
Ti 0.101 0.899 0.750
Ti 0.899 0.101 0.250
Ag 0.363 0.637 0.570
Ag 0.363 0.637 0.930
Ag 0.637 0.363 0.070
Ag 0.637 0.363 0.430
Se 0.000 0.000 0.000
Se 0.000 0.000 0.500
Se 0.303 0.697 0.133
Se 0.303 0.697 0.367
Se 0.462 0.538 0.750
Se 0.538 0.462 0.250
Se 0.697 0.303 0.633
Se 0.697 0.303 0.867

---

Entry from Alexandria via LeMat-Bulk: Ti2AgSe4 after structural relaxation (PBE).

Formation energy without anion corrections = -0.91 eV/atom
SG = No. 10

abc: 6.238 3.622 6.835
angles: 90.00 91.83 90.00
Element x y z (fractional)
Ti 0.000 0.000 0.000
Ti 0.500 0.500 0.000
Ag 0.000 0.000 0.500
Se 0.178 0.500 0.226
Se 0.331 0.000 0.776
Se 0.669 0.000 0.224
Se 0.822 0.500 0.774

---

Entry from Alexandria via LeMat-Bulk: TiAg5Se5 after structural relaxation (PBE).

Formation energy without anion corrections = -0.24 eV/atom
SG = No. 12

abc: 7.617 7.617 7.704
angles: 103.98 103.98 36.58
Element x y z (fractional)
Ti 0.000 0.000 0.000
Ag 0.000 0.000 0.500
Ag 0.284 0.284 0.132
Ag 0.324 0.324 0.535
Ag 0.676 0.676 0.465
Ag 0.716 0.716 0.868
Se 0.130 0.130 0.317
Se 0.134 0.134 0.818
Se 0.500 0.500 0.000
Se 0.866 0.866 0.182
Se 0.870 0.870 0.683

---

Entry from Alexandria via LeMat-Bulk: Ti2AgSe4 after structural relaxation (PBE).

Formation energy without anion corrections = -0.79 eV/atom
SG = No. 63

abc: 6.346 6.346 13.154
angles: 90.00 90.00 146.56
Element x y z (fractional)
Ti 0.132 0.868 0.567
Ti 0.132 0.868 0.933
Ti 0.868 0.132 0.067
Ti 0.868 0.132 0.433
Ag 0.392 0.608 0.750
Ag 0.608 0.392 0.250
Se 0.059 0.941 0.750
Se 0.225 0.775 0.113
Se 0.225 0.775 0.387
Se 0.500 0.500 0.000
Se 0.500 0.500 0.500
Se 0.775 0.225 0.613
Se 0.775 0.225 0.887
Se 0.941 0.059 0.250

---

Entry from Alexandria via LeMat-Bulk: Ti6Tl5AgSe27 after structural relaxation (PBE).

Formation energy without anion corrections = -0.63 eV/atom
SG = No. 159

abc: 13.416 13.416 13.973
angles: 90.00 90.00 120.00
Element x y z (fractional)
Ti 0.012 0.339 0.000
Ti 0.013 0.349 0.740
Ti 0.327 0.988 0.000
Ti 0.336 0.987 0.740
Ti 0.339 0.012 0.500
Ti 0.349 0.013 0.240
Ti 0.651 0.664 0.740
Ti 0.661 0.673 0.000
Ti 0.664 0.651 0.240
Ti 0.673 0.661 0.500
Ti 0.987 0.336 0.240
Ti 0.988 0.327 0.500
Tl 0.065 0.699 0.865
Tl 0.301 0.366 0.865
Tl 0.333 0.667 0.069
Tl 0.333 0.667 0.716
Tl 0.366 0.301 0.365
Tl 0.634 0.935 0.865
Tl 0.667 0.333 0.216
Tl 0.667 0.333 0.569
Tl 0.699 0.065 0.365
Tl 0.935 0.634 0.365
Ag 0.000 0.000 0.120
Ag 0.000 0.000 0.620
Se 0.017 0.497 0.615
Se 0.076 0.195 0.744
Se 0.102 0.211 0.013
Se 0.109 0.898 0.013
Se 0.119 0.924 0.744
Se 0.122 0.326 0.371
Se 0.131 0.551 0.235
Se 0.139 0.482 0.873
Se 0.158 0.347 0.624
Se 0.164 0.368 0.123
Se 0.189 0.842 0.624
Se 0.190 0.501 0.460
Se 0.195 0.076 0.244
Se 0.204 0.836 0.123
Se 0.204 0.878 0.371
Se 0.211 0.102 0.513
Se 0.312 0.810 0.460
Se 0.326 0.122 0.871
Se 0.344 0.861 0.873
Se 0.347 0.158 0.124
Se 0.368 0.164 0.623
Se 0.420 0.869 0.235
Se 0.449 0.580 0.235
Se 0.480 0.983 0.615
Se 0.482 0.139 0.373
Se 0.497 0.017 0.115
Se 0.499 0.688 0.460
Se 0.501 0.190 0.960
Se 0.503 0.520 0.615
Se 0.518 0.656 0.873
Se 0.520 0.503 0.115
Se 0.551 0.131 0.735
Se 0.580 0.449 0.735
Se 0.632 0.796 0.123
Se 0.653 0.811 0.624
Se 0.656 0.518 0.373
Se 0.674 0.796 0.371
Se 0.688 0.499 0.960
Se 0.789 0.891 0.013
Se 0.796 0.632 0.623
Se 0.796 0.674 0.871
Se 0.805 0.881 0.744
Se 0.810 0.312 0.960
Se 0.811 0.653 0.124
Se 0.836 0.204 0.623
Se 0.842 0.189 0.124
Se 0.861 0.344 0.373
Se 0.869 0.420 0.735
Se 0.878 0.204 0.871
Se 0.881 0.805 0.244
Se 0.891 0.789 0.513
Se 0.898 0.109 0.513
Se 0.924 0.119 0.244
Se 0.983 0.480 0.115

---

Entry from Alexandria via LeMat-Bulk: Tm3TiAg3Se8 after structural relaxation (PBE).

Formation energy without anion corrections = -1.11 eV/atom
SG = No. 12

abc: 8.017 8.017 8.162
angles: 119.61 119.61 59.99
Element x y z (fractional)
Tm 0.000 0.000 0.000
Tm 0.000 0.500 0.000
Tm 0.500 0.000 0.000
Ti 0.500 0.500 0.000
Ag 0.000 0.500 0.500
Ag 0.500 0.000 0.500
Ag 0.500 0.500 0.500
Se 0.248 0.248 0.244
Se 0.265 0.731 0.226
Se 0.269 0.269 0.775
Se 0.269 0.735 0.774
Se 0.731 0.265 0.226
Se 0.731 0.731 0.225
Se 0.735 0.269 0.774
Se 0.752 0.752 0.756

---

Entry from Alexandria via LeMat-Bulk: UTi2Ag2Se6 after structural relaxation (PBE).

Formation energy without anion corrections = -0.83 eV/atom
SG = No. 12

abc: 6.632 6.632 6.902
angles: 93.37 93.37 119.54
Element x y z (fractional)
U 0.000 0.000 0.000
Ti 0.346 0.654 0.000
Ti 0.654 0.346 0.000
Ag 0.124 0.876 0.500
Ag 0.876 0.124 0.500
Se 0.024 0.389 0.216
Se 0.325 0.325 0.766
Se 0.389 0.024 0.216
Se 0.611 0.976 0.784
Se 0.675 0.675 0.234
Se 0.976 0.611 0.784

---

Entry from Alexandria via LeMat-Bulk: TiAgW2Se after structural relaxation (PBE).

Formation energy without anion corrections = 1.39 eV/atom
SG = No. 123

abc: 4.635 4.635 4.718
angles: 90.00 90.00 90.00
Element x y z (fractional)
Ti 0.000 0.000 0.000
Ag 0.500 0.500 0.000
W 0.000 0.500 0.500
W 0.500 0.000 0.500
Se 0.500 0.500 0.500

---

Entry from Alexandria via LeMat-Bulk: Ti2ZnAgSe after structural relaxation (PBE).

Formation energy without anion corrections = 0.79 eV/atom
SG = No. 123

abc: 4.770 4.770 4.798
angles: 90.00 90.00 90.00
Element x y z (fractional)
Ti 0.000 0.500 0.000
Ti 0.500 0.000 0.000
Zn 0.000 0.000 0.000
Ag 0.500 0.500 0.500
Se 0.000 0.000 0.500

---

Entry from Alexandria via LeMat-Bulk: Tl2Ag3Se3 after structural relaxation (PBE).

Formation energy without anion corrections = -0.14 eV/atom
SG = No. 193

abc: 7.690 7.690 9.501
angles: 90.00 90.00 120.00
Element x y z (fractional)
Tl 0.333 0.667 0.000
Tl 0.333 0.667 0.500
Tl 0.667 0.333 0.000
Tl 0.667 0.333 0.500
Ag 0.000 0.330 0.250
Ag 0.000 0.670 0.750
Ag 0.330 0.000 0.250
Ag 0.330 0.330 0.750
Ag 0.670 0.000 0.750
Ag 0.670 0.670 0.250
Se 0.000 0.336 0.750
Se 0.000 0.664 0.250
Se 0.336 0.000 0.750
Se 0.336 0.336 0.250
Se 0.664 0.000 0.250
Se 0.664 0.664 0.750

---

Entry from Alexandria via LeMat-Bulk: Tl2AgSe6 after structural relaxation (PBE).

Formation energy without anion corrections = -0.06 eV/atom
SG = No. 12

abc: 6.293 6.293 7.377
angles: 102.26 102.26 77.67
Element x y z (fractional)
Tl 0.149 0.149 0.297
Tl 0.851 0.851 0.703
Ag 0.500 0.500 0.000
Se 0.122 0.598 0.133
Se 0.346 0.654 0.500
Se 0.402 0.878 0.867
Se 0.598 0.122 0.133
Se 0.654 0.346 0.500
Se 0.878 0.402 0.867

---

Entry from Alexandria via LeMat-Bulk: Tl3Ag6Se5 after structural relaxation (PBE).

Formation energy without anion corrections = -0.17 eV/atom
SG = No. 59

abc: 4.295 13.406 11.814
angles: 90.00 90.00 90.00
Element x y z (fractional)
Tl 0.250 0.099 0.249
Tl 0.250 0.401 0.249
Tl 0.250 0.750 0.251
Tl 0.750 0.250 0.749
Tl 0.750 0.599 0.751
Tl 0.750 0.901 0.751
Ag 0.250 0.056 0.877
Ag 0.250 0.250 0.009
Ag 0.250 0.250 0.516
Ag 0.250 0.444 0.877
Ag 0.250 0.583 0.497
Ag 0.250 0.917 0.497
Ag 0.750 0.083 0.503
Ag 0.750 0.417 0.503
Ag 0.750 0.556 0.123
Ag 0.750 0.750 0.484
Ag 0.750 0.750 0.991
Ag 0.750 0.944 0.123
Se 0.250 0.077 0.651
Se 0.250 0.423 0.651
Se 0.250 0.620 0.992
Se 0.250 0.750 0.631
Se 0.250 0.880 0.992
Se 0.750 0.120 0.008
Se 0.750 0.250 0.369
Se 0.750 0.380 0.008
Se 0.750 0.577 0.349
Se 0.750 0.923 0.349

---

Number 1: raw total energy -30.013 eV per formula unit, M_tot 0.000 μB/cell. Number 2: raw total energy -38.924 eV per formula unit, M_tot 0.001 μB/cell. Number 3: raw total energy -42.193 eV per formula unit, M_tot 0.000 μB/cell. Number 4: raw total energy -38.128 eV per formula unit, M_tot 0.019 μB/cell. Number 5: raw total energy -180.873 eV per formula unit, M_tot 0.000 μB/cell. Number 6: raw total energy -74.409 eV per formula unit, M_tot 0.042 μB/cell. Number 7: raw total energy -62.780 eV per formula unit, M_tot 3.998 μB/cell. Number 8: raw total energy -33.211 eV per formula unit, M_tot 0.011 μB/cell. Number 9: raw total energy -19.451 eV per formula unit, M_tot 0.000 μB/cell. Number 10: raw total energy -24.879 eV per formula unit, M_tot 0.000 μB/cell. Number 11: raw total energy -29.009 eV per formula unit, M_tot 0.000 μB/cell. Number 12: raw total energy -44.060 eV per formula unit, M_tot 0.000 μB/cell.